# GGA-PBE Y3Cu2Pt5, optimized geometry
# **Crystal system**: tetragonal
# **DFT formation energy**: -0.9103 eV per atom
data_Y3Cu2Pt5
_symmetry_space_group_name_H-M 'P 4/m b m'
_symmetry_Int_Tables_number 127
_symmetry_space_group_name_Hall '-P 4 2ab'
_cell_length_a 9.596
_cell_length_b 9.596
_cell_length_c 3.985
_cell_angle_alpha 90.00
_cell_angle_beta 90.00
_cell_angle_gamma 90.00
loop_
_atom_site_label
_atom_site_type_symbol
_atom_site_fract_x
_atom_site_fract_y
_atom_site_fract_z
Y1 Y 0.000 0.000 0.000
Y2 Y 0.175 0.325 0.000
Cu1 Cu 0.118 0.618 0.000
Pt1 Pt 0.000 0.500 0.500
Pt2 Pt 0.073 0.786 0.500